[1]
GGA-PBE Na3SmBi2, optimized geometry; total energy = -3.288 eV/atom; crystal system = trigonal; total magnetic moment = 0.01 μB/f.u.
1.0
5.054 0.000 0.000
-2.527 4.377 0.000
0.000 0.000 7.657
Na Sm Bi
3 1 2
direct
0.000 0.000 0.000
0.333 0.667 0.159
0.667 0.333 0.841
0.000 0.000 0.500
0.333 0.667 0.718
0.667 0.333 0.282

[2]
GGA-PBE NaTa3Bi5, optimized geometry; total energy = -6.287 eV/atom; crystal system = hexagonal; total magnetic moment = 0.02 μB/f.u.
1.0
5.853 0.000 0.000
-2.927 5.069 0.000
0.000 0.000 8.967
Na Ta Bi
1 3 5
direct
0.000 0.000 0.000
0.000 0.500 0.500
0.500 0.000 0.500
0.500 0.500 0.500
0.000 0.000 0.500
0.333 0.667 0.219
0.333 0.667 0.781
0.667 0.333 0.219
0.667 0.333 0.781

[3]
GGA-PBE NaTaTcBi, optimized geometry; distance to the lowest polymorph of the same formula = 190 meV/atom; crystal system = cubic; total magnetic moment = 0.07 μB/f.u.
1.0
0.000 3.370 3.370
3.370 0.000 3.370
3.370 3.370 0.000
Na Ta Tc Bi
1 1 1 1
direct
0.000 0.000 0.000
0.500 0.500 0.500
0.250 0.250 0.250
0.750 0.750 0.750

[4]
GGA-PBE NaTaTcBi, optimized geometry; distance to the lowest polymorph of the same formula = 0 meV/atom; crystal system = cubic; total magnetic moment = 0.00 μB/f.u.
1.0
0.000 3.325 3.325
3.325 0.000 3.325
3.325 3.325 0.000
Na Ta Tc Bi
1 1 1 1
direct
0.000 0.000 0.000
0.750 0.750 0.750
0.500 0.500 0.500
0.250 0.250 0.250

[5]
GGA-PBE NaTmBi, optimized geometry; total energy = -3.365 eV/atom; crystal system = cubic; total magnetic moment = 0.00 μB/f.u.
1.0
0.000 3.656 3.656
3.656 0.000 3.656
3.656 3.656 0.000
Na Tm Bi
1 1 1
direct
0.000 0.000 0.000
0.750 0.750 0.750
0.500 0.500 0.500

[6]
GGA-PBE NaTmBi, optimized geometry; total energy = -3.188 eV/atom; crystal system = cubic; total magnetic moment = 0.04 μB/f.u.
1.0
0.000 3.544 3.544
3.544 0.000 3.544
3.544 3.544 0.000
Na Tm Bi
1 1 1
direct
0.000 0.000 0.000
0.250 0.250 0.250
0.750 0.750 0.750

[7]
GGA-PBE NaUBi, optimized geometry; total energy = -4.794 eV/atom; crystal system = cubic; total magnetic moment = 3.48 μB/f.u.
1.0
0.000 3.741 3.741
3.741 0.000 3.741
3.741 3.741 0.000
Na U Bi
1 1 1
direct
0.000 0.000 0.000
0.750 0.750 0.750
0.500 0.500 0.500

[8]
GGA-PBE NaBiW, optimized geometry; distance to the lowest polymorph of the same formula = 0 meV/atom; crystal system = cubic; total magnetic moment = 2.96 μB/f.u.
1.0
0.000 3.427 3.427
3.427 0.000 3.427
3.427 3.427 0.000
Na Bi W
1 1 1
direct
0.000 0.000 0.000
0.500 0.500 0.500
0.750 0.750 0.750

[9]
GGA-PBE NaBi5W3, optimized geometry; total energy = -6.300 eV/atom; crystal system = hexagonal; total magnetic moment = 0.01 μB/f.u.
1.0
5.685 0.000 0.000
-2.843 4.924 0.000
0.000 0.000 8.900
Na Bi W
1 5 3
direct
0.000 0.000 0.000
0.000 0.000 0.500
0.333 0.667 0.218
0.333 0.667 0.782
0.667 0.333 0.218
0.667 0.333 0.782
0.000 0.500 0.500
0.500 0.000 0.500
0.500 0.500 0.500

[10]
GGA-PBE Na2Zn3Bi, optimized geometry; total energy = -1.686 eV/atom; crystal system = trigonal
1.0
5.367 0.000 0.000
-2.683 4.648 0.000
0.000 0.000 5.459
Na Zn Bi
2 3 1
direct
0.333 0.667 0.497
0.667 0.333 0.503
0.000 0.500 0.000
0.500 0.000 0.000
0.500 0.500 0.000
0.000 0.000 0.500

[11]
GGA-PBE Na4ZnBi2, optimized geometry; total energy = -2.368 eV/atom; crystal system = trigonal
1.0
2.743 1.584 9.190
-2.743 1.584 9.190
0.000 -3.167 9.190
Na Zn Bi
4 1 2
direct
0.106 0.106 0.106
0.287 0.287 0.287
0.713 0.713 0.713
0.894 0.894 0.894
0.500 0.500 0.500
0.406 0.406 0.406
0.594 0.594 0.594

[12]
GGA-PBE NaZrBi, optimized geometry; total energy = -4.013 eV/atom; crystal system = cubic; total magnetic moment = 1.88 μB/f.u.
1.0
0.000 3.469 3.469
3.469 0.000 3.469
3.469 3.469 0.000
Na Zr Bi
1 1 1
direct
0.000 0.000 0.000
0.250 0.250 0.250
0.750 0.750 0.750

[13]
GGA-PBE NbBi2, optimized geometry; total energy = -5.752 eV/atom; crystal system = orthorhombic; total magnetic moment = 0.00 μB/f.u.
1.0
6.706 0.000 0.000
0.000 7.442 0.000
0.000 0.000 3.206
Nb Bi
2 4
direct
0.000 0.000 0.000
0.500 0.500 0.500
0.176 0.353 0.000
0.324 0.853 0.500
0.676 0.147 0.500
0.824 0.647 0.000

[14]
GGA-PBE NbBi, optimized geometry; total energy = -6.775 eV/atom; crystal system = hexagonal; total magnetic moment = 0.00 μB/f.u.
1.0
3.643 0.000 0.000
-1.822 3.155 0.000
0.000 0.000 3.979
Nb Bi
1 1
direct
0.000 0.000 0.000
0.333 0.667 0.500